1.
# Ba5Ga2As6

A geometry-optimized Ba5Ga2As6 structure (GGA-PBE, Alexandria via LeMat-Bulk).

Cell and atoms, written as POSCAR:
```
Ba5Ga2As6
1.0
12.912 0.000 0.000
0.000 14.678 0.000
0.000 0.000 4.446
Ba Ga As
10 4 12
direct
0.000 0.000 0.000 Ba
0.076 0.260 0.000 Ba
0.174 0.521 0.000 Ba
0.326 0.021 0.000 Ba
0.424 0.760 0.000 Ba
0.500 0.500 0.000 Ba
0.576 0.240 0.000 Ba
0.674 0.979 0.000 Ba
0.826 0.479 0.000 Ba
0.924 0.740 0.000 Ba
0.193 0.718 0.500 Ga
0.307 0.218 0.500 Ga
0.693 0.782 0.500 Ga
0.807 0.282 0.500 Ga
0.007 0.416 0.500 As
0.157 0.107 0.500 As
0.169 0.808 0.000 As
0.331 0.308 0.000 As
0.343 0.607 0.500 As
0.493 0.916 0.500 As
0.507 0.084 0.500 As
0.657 0.393 0.500 As
0.669 0.692 0.000 As
0.831 0.192 0.000 As
0.843 0.893 0.500 As
0.993 0.584 0.500 As
```

N(E_F) ... 0.1039 states/eV per atom
Calculated total energy ... -110.56 eV/cell
Symmetry ... Pbam (55)
M_tot ... 0.00 μB/f.u.
Energy relative to the elements ... -0.90 eV/atom

***

2.
# YAg2AsF

A geometry-optimized YAg2AsF structure (GGA-PBE, Alexandria via LeMat-Bulk).

Cell and atoms, written as POSCAR:
```
YAg2AsF
1.0
4.724 0.000 0.000
0.000 4.724 0.000
0.000 0.000 4.542
Y Ag As F
1 2 1 1
direct
0.000 0.000 0.000 Y
0.000 0.500 0.500 Ag
0.500 0.000 0.500 Ag
0.500 0.500 0.000 As
0.000 0.000 0.500 F
```

N(E_F) ... 0.4979 states/eV per atom
Calculated total energy ... -22.19 eV/cell
Symmetry ... P4/mmm (123)
M_tot ... 0.00 μB/f.u.
Formation energy from raw total energies ... -0.701 eV/atom

***

3.
# BePOs2

A geometry-optimized BePOs2 structure (GGA-PBE, Alexandria via LeMat-Bulk).

Cell and atoms, written as POSCAR:
```
BePOs2
1.0
8.250 0.000 0.000
0.000 2.884 0.000
-1.219 0.000 4.135
Be P Os
2 2 4
direct
0.000 0.000 0.000 Be
0.500 0.500 0.000 Be
0.245 0.500 0.294 P
0.745 0.000 0.294 P
0.255 0.000 0.863 Os
0.498 0.000 0.475 Os
0.755 0.500 0.863 Os
0.998 0.500 0.475 Os
```

N(E_F) ... 0.4899 states/eV per atom
Calculated total energy ... -64.12 eV/cell
Symmetry ... Cm (8)
M_tot ... 0.00 μB/f.u.
Energy relative to the elements ... -0.12 eV/atom

***

4.
# MgNiSnSe

A geometry-optimized MgNiSnSe structure (GGA-PBE, Alexandria via LeMat-Bulk).

Cell and atoms, written as POSCAR:
```
MgNiSnSe
1.0
4.170 0.000 0.000
2.072 3.694 0.000
2.084 1.248 6.057
Mg Ni Sn Se
1 1 1 1
direct
0.000 0.000 0.000 Mg
0.148 0.152 0.556 Ni
0.449 0.464 0.643 Sn
0.275 0.282 0.169 Se
```

N(E_F) ... 0.2643 states/eV per atom
Calculated total energy ... -16.59 eV/cell
Symmetry ... P1 (1)
M_tot ... 0.00 μB/f.u.
ΔE to the lowest computed polymorph ... 2.17 kJ per mole of atoms
Formation energy from raw total energies ... -0.433 eV/atom